Here is an optimized crystal structure of RbPtWO6 from Alexandria. Energies are from PBE+U.

Cell and atoms, written as CIF:
```
data_RbPtWO6
_chemical_formula_sum 'Rb2 Pt2 W2 O12'
_cell_length_a 7.3280
_cell_length_b 7.3280
_cell_length_c 7.3280
_cell_angle_alpha 121.47
_cell_angle_beta 119.17
_cell_angle_gamma 89.46
_space_group_name_H-M_alt 'P 1'
_space_group_IT_number 1
loop_
_space_group_symop_operation_xyz
'x,y,z'
loop_
_atom_site_label
_atom_site_type_symbol
_atom_site_fract_x
_atom_site_fract_y
_atom_site_fract_z
_atom_site_occupancy
Rb1 Rb 0.3711 0.1211 0.2500 1
Rb2 Rb 0.6289 0.8789 0.7500 1
Pt1 Pt 0.0000 0.0000 0.5000 1
Pt2 Pt 0.0000 0.5000 0.0000 1
W1 W 0.0000 0.5000 0.5000 1
W2 W 0.5000 0.5000 0.0000 1
O1 O 0.0654 0.4278 0.2495 1
O2 O 0.0654 0.8159 0.6377 1
O3 O 0.0750 0.8250 0.2500 1
O4 O 0.3115 0.5615 0.7500 1
O5 O 0.3218 0.1841 0.7495 1
O6 O 0.3218 0.5722 0.1377 1
O7 O 0.6782 0.4278 0.8623 1
O8 O 0.6782 0.8159 0.2505 1
O9 O 0.6885 0.4385 0.2500 1
O10 O 0.9250 0.1750 0.7500 1
O11 O 0.9346 0.1841 0.3623 1
O12 O 0.9346 0.5722 0.7505 1
```

Mass density ... 6.7 g/cm³
Total DFT energy (no corrections) ... -112.736 eV for the cell shown